[1]
The following is a PBE calculation of crystalline Li3MnNb2N6 at its relaxed geometry, from the Alexandria database.

Summary:
Formation energy (no corrections) = -13.84 kcal/mol of atoms
Symmetry = C2/m, No. 12
E = -7.6838 eV/atom
Magnetic moment = 2.52 μB/f.u.

Lattice parameters (Å, degrees): 5.2560 5.2560 5.3599 99.29 99.29 119.99
Element x y z (fractional)
1 Li 0.0000 0.0000 0.0000
2 Li 0.3400 0.6600 0.0000
3 Li 0.6600 0.3400 0.0000
4 Mn 0.5000 0.5000 0.5000
5 Nb 0.1672 0.8328 0.5000
6 Nb 0.8328 0.1672 0.5000
7 N 0.1037 0.4267 0.2784
8 N 0.2498 0.2498 0.7211
9 N 0.4267 0.1037 0.2784
10 N 0.5733 0.8963 0.7216
11 N 0.7502 0.7502 0.2789
12 N 0.8963 0.5733 0.7216

---

[2]
The following is a PBE calculation of crystalline Li2MnNbN4 at its relaxed geometry, from the Alexandria database.

Summary:
Formation energy (no corrections) = -4.40 kcal/mol of atoms
Symmetry = Cmcm, No. 63
E = -7.2369 eV/atom
Magnetic moment = 0.17 μB/f.u.

Lattice parameters (Å, degrees): 5.3538 5.3538 10.1506 90.00 90.00 147.81
Element x y z (fractional)
1 Li 0.1343 0.8657 0.5304
2 Li 0.1343 0.8657 0.9696
3 Li 0.8657 0.1343 0.0304
4 Li 0.8657 0.1343 0.4696
5 Mn 0.3649 0.6351 0.2500
6 Mn 0.6351 0.3649 0.7500
7 Nb 0.3708 0.6292 0.7500
8 Nb 0.6292 0.3708 0.2500
9 N 0.0367 0.9633 0.7500
10 N 0.2311 0.7689 0.1337
11 N 0.2311 0.7689 0.3663
12 N 0.5000 0.5000 0.0000
13 N 0.5000 0.5000 0.5000
14 N 0.7689 0.2311 0.6337
15 N 0.7689 0.2311 0.8663
16 N 0.9633 0.0367 0.2500

---

Number 1: ρ 4.728 g/cm³. Number 2: ρ 4.666 g/cm³.